DFT (PBE-GGA) results for a relaxed structure of SrMgNi3.

Computed properties:
The calculation puts the distance to the lowest polymorph of the same formula at 887 meV/atom. For the volume, the calculation gives 110.76 Å³/f.u.

Lattice parameters (Å, degrees): 4.802 4.802 4.802 90.00 90.00 90.00
Space group Pm-3m (No. 221)
Symmetry-distinct sites (fractional):
Sr  0.000  0.000  0.000 x1
Mg  0.500  0.500  0.500 x1
Ni  0.000  0.000  0.500 x3